Below is Nd2YSe3 after structural relaxation, with properties calculated at the GGA-PBE level.

Summary:
* M_tot: 0.00 Bohr magnetons per cell
* formation energy from raw total energies: -1.792 eV per atom
* ΔE to the lowest computed polymorph: 19 meV per atom

POSCAR file:
```
Nd2YSe3
1.0
4.118 0.000 0.000
-2.059 3.566 0.000
0.000 0.000 21.240
Nd Se Y
4 6 2
direct
0.333 0.667 0.583 Nd
0.667 0.333 0.083 Nd
0.667 0.333 0.417 Nd
0.333 0.667 0.917 Nd
0.333 0.667 0.331 Se
0.000 0.000 0.500 Se
0.333 0.667 0.169 Se
0.000 0.000 0.000 Se
0.667 0.333 0.831 Se
0.667 0.333 0.669 Se
0.000 0.000 0.750 Y
0.000 0.000 0.250 Y
```

Below is Nd2Y2Se5 after structural relaxation, with properties calculated at the GGA-PBE level.

Summary:
* M_tot: 0.00 Bohr magnetons per cell
* formation energy from raw total energies: -1.767 eV per atom

POSCAR file:
```
Nd2Y2Se5
1.0
7.774 0.000 0.000
0.000 7.278 -4.193
0.000 -0.677 8.372
Se Y Nd
10 4 4
direct
0.846 0.794 0.523 Se
0.154 0.477 0.206 Se
0.154 0.206 0.477 Se
0.654 0.023 0.294 Se
0.500 0.500 0.500 Se
0.846 0.523 0.794 Se
0.000 0.000 0.000 Se
0.346 0.706 0.977 Se
0.654 0.294 0.023 Se
0.346 0.977 0.706 Se
0.844 0.349 0.349 Y
0.344 0.151 0.151 Y
0.156 0.651 0.651 Y
0.656 0.849 0.849 Y
0.500 0.697 0.303 Nd
0.000 0.803 0.197 Nd
0.000 0.197 0.803 Nd
0.500 0.303 0.697 Nd
```

Below is YbNdSe3 after structural relaxation, with properties calculated at the GGA-PBE level.

Summary:
* M_tot: 0.87 Bohr magnetons per cell
* formation energy from raw total energies: -1.699 eV per atom

POSCAR file:
```
YbNdSe3
1.0
0.933 6.957 0.349
-3.670 -5.275 -2.844
-6.506 0.498 7.471
Se Nd Yb
6 2 2
direct
0.647 0.353 0.066 Se
0.647 0.353 0.434 Se
0.093 0.907 0.750 Se
0.353 0.647 0.566 Se
0.907 0.093 0.250 Se
0.353 0.647 0.934 Se
0.748 0.252 0.750 Nd
0.252 0.748 0.250 Nd
0.000 0.000 0.500 Yb
0.000 0.000 0.000 Yb
```

Below is Nd2ZnSe after structural relaxation, with properties calculated at the GGA-PBE level.

Summary:
* M_tot: 0.00 Bohr magnetons per cell
* formation energy from raw total energies: -0.888 eV per atom
* ΔE to the lowest computed polymorph: 169 meV per atom

POSCAR file:
```
Nd2ZnSe
1.0
3.752 0.000 0.000
0.000 3.752 0.000
0.000 0.000 7.067
Nd Zn Se
2 1 1
direct
0.000 0.000 0.251 Nd
0.000 0.000 0.749 Nd
0.500 0.500 0.000 Zn
0.500 0.500 0.500 Se
```

Below is Nd2ZnSe after structural relaxation, with properties calculated at the GGA-PBE level.

Summary:
* M_tot: 0.00 Bohr magnetons per cell
* formation energy from raw total energies: -0.923 eV per atom
* ΔE to the lowest computed polymorph: 134 meV per atom

POSCAR file:
```
Nd2ZnSe
1.0
-0.977 1.367 3.673
-3.201 -1.522 1.936
3.214 -5.569 5.148
Se Nd Zn
1 2 1
direct
0.499 0.499 0.503 Se
0.249 0.249 0.252 Nd
0.084 0.084 0.748 Nd
0.667 0.667 0.998 Zn
```

Below is Nd3ZnSe6 after structural relaxation, with properties calculated at the GGA-PBE level.

Summary:
* M_tot: 0.00 Bohr magnetons per cell
* formation energy from raw total energies: -1.478 eV per atom

POSCAR file:
```
Nd3ZnSe6
1.0
6.624 0.000 0.000
0.000 9.392 0.047
0.000 -2.050 9.165
Se Zn Nd
12 2 6
direct
0.695 0.567 0.092 Se
0.695 0.908 0.433 Se
0.189 0.677 0.642 Se
0.168 0.037 0.963 Se
0.689 0.323 0.358 Se
0.195 0.433 0.908 Se
0.689 0.642 0.677 Se
0.189 0.358 0.323 Se
0.668 0.963 0.037 Se
0.195 0.092 0.567 Se
0.168 0.780 0.220 Se
0.668 0.220 0.780 Se
0.532 0.803 0.197 Zn
0.032 0.197 0.803 Zn
0.977 0.719 0.930 Nd
0.477 0.930 0.719 Nd
0.394 0.383 0.617 Nd
0.894 0.617 0.383 Nd
0.977 0.070 0.281 Nd
0.477 0.281 0.070 Nd
```

Below is Nd2Zn2Se after structural relaxation, with properties calculated at the GGA-PBE level.

Summary:
* M_tot: 0.00 Bohr magnetons per cell
* formation energy from raw total energies: -0.935 eV per atom

POSCAR file:
```
Nd2Zn2Se
1.0
4.043 -0.010 -1.321
-2.238 3.618 -0.028
0.429 0.328 8.156
Nd Zn Se
2 2 1
direct
0.816 0.408 0.223 Nd
0.184 0.592 0.777 Nd
0.340 0.170 0.510 Zn
0.660 0.830 0.490 Zn
0.000 0.000 0.000 Se
```

Below is Nd2ZnSe after structural relaxation, with properties calculated at the GGA-PBE level.

Summary:
* M_tot: 0.00 Bohr magnetons per cell
* formation energy from raw total energies: -1.024 eV per atom
* ΔE to the lowest computed polymorph: 34 meV per atom

POSCAR file:
```
Nd2ZnSe
1.0
-1.702 3.750 0.487
-1.313 1.211 3.742
5.681 4.503 2.833
Se Zn Nd
1 1 2
direct
0.500 0.500 0.500 Se
0.000 0.000 0.000 Zn
0.246 0.246 0.262 Nd
0.754 0.754 0.738 Nd
```

Number 1: D(E_F) 6.35 states/eV/cell. Number 2: D(E_F) 13.27 states/eV/cell. Number 3: D(E_F) 30.59 states/eV/cell. Number 4: D(E_F) 3.39 states/eV/cell. Number 5: D(E_F) 3.86 states/eV/cell. Number 6: D(E_F) 9.09 states/eV/cell. Number 7: D(E_F) 6.50 states/eV/cell. Number 8: D(E_F) 1.98 states/eV/cell.